(1)
The following is a DFT calculation (PBE) of Ho4Rh2O after structural relaxation. Values from VASP.

* size of the total moment: 0.00 μB/atom
* ΔE_f (raw): -124 kJ per mole of atoms
* crystal system: tetragonal

The structure in Quantum ESPRESSO input format:
```
&SYSTEM
  ibrav = 0, nat = 7, ntyp = 3
/
ATOMIC_SPECIES
Rh 102.91 Rh.upf
Ho 164.93 Ho.upf
O 16.00 O.upf
CELL_PARAMETERS angstrom
4.5377 0.0000 0.0000
0.0000 4.5377 0.0000
-2.2688 -2.2688 7.2447
ATOMIC_POSITIONS crystal
Rh 0.6301 0.6301 0.2602
Rh 0.3699 0.3699 0.7398
Ho 0.8159 0.8159 0.6318
Ho 0.1841 0.1841 0.3682
Ho 0.0000 0.5000 0.0000
Ho 0.5000 0.0000 0.0000
O 0.0000 0.0000 0.0000
```

=====

(2)
The following is a DFT calculation (PBE) of LiMgMnP2 after structural relaxation. Values from VASP.

* size of the total moment: 0.00 μB/atom
* relative energy among the computed polymorphs: 0.0 meV/atom
* crystal system: tetragonal
* energy of formation: 1.155 eV/atom

The structure in Quantum ESPRESSO input format:
```
&SYSTEM
  ibrav = 0, nat = 5, ntyp = 4
/
ATOMIC_SPECIES
P 30.97 P.upf
Mg 24.30 Mg.upf
Mn 54.94 Mn.upf
Li 6.94 Li.upf
CELL_PARAMETERS angstrom
4.7589 0.0000 0.0000
0.0000 4.5913 0.0000
0.0000 0.0000 4.7589
ATOMIC_POSITIONS crystal
P 0.0000 0.0000 0.5000
P 0.5000 0.0000 0.0000
Mg 0.0000 0.0000 0.0000
Mn 0.0000 0.5000 0.0000
Li 0.5000 0.5000 0.5000
```

=====

(3)
The following is a DFT calculation (PBE) of SrPr2Y after structural relaxation. Values from VASP.

* size of the total moment: 0.00 μB/atom
* relative energy among the computed polymorphs: 0.0 meV/atom
* crystal system: trigonal
* energy of formation: 0.083 eV/atom

The structure in Quantum ESPRESSO input format:
```
&SYSTEM
  ibrav = 0, nat = 4, ntyp = 3
/
ATOMIC_SPECIES
Sr 87.62 Sr.upf
Pr 140.91 Pr.upf
Y 88.91 Y.upf
CELL_PARAMETERS angstrom
-1.1940 -3.5397 0.4333
0.4586 -2.4926 -2.7785
10.8760 -5.1885 3.9046
ATOMIC_POSITIONS crystal
Sr 0.5000 0.5000 0.5001
Pr 0.0770 0.0770 0.7690
Pr 0.2565 0.2565 0.2304
Y 0.6665 0.6665 0.0005
```

=====

(4)
The following is a DFT calculation (PBE) of PmPrSm4Dy2 after structural relaxation. Values from VASP.

* size of the total moment: 0.00 μB/atom
* crystal system: monoclinic
* energy of formation: 0.396 eV/atom

The structure in Quantum ESPRESSO input format:
```
&SYSTEM
  ibrav = 0, nat = 16, ntyp = 4
/
ATOMIC_SPECIES
Pm 145.00 Pm.upf
Pr 140.91 Pr.upf
Sm 150.36 Sm.upf
Dy 162.50 Dy.upf
CELL_PARAMETERS angstrom
-0.6318 -2.4995 -9.2361
9.5008 -1.0863 -0.7103
-7.1797 -3.0349 9.0361
ATOMIC_POSITIONS crystal
Pm 0.5000 0.5000 0.5000
Pm 0.0000 0.0000 0.0000
Pr 0.0000 0.5000 0.0000
Pr 0.0000 0.5000 0.5000
Sm 0.2538 0.7479 0.9927
Sm 0.7521 0.2462 0.5073
Sm 0.2479 0.7538 0.4927
Sm 0.7462 0.2521 0.0073
Sm 0.7128 0.7178 0.9673
Sm 0.7822 0.7872 0.5327
Sm 0.2178 0.2128 0.4673
Sm 0.2872 0.2822 0.0327
Dy 0.5000 0.0000 0.0000
Dy 0.5000 0.0000 0.5000
Dy 0.0000 0.0000 0.5000
Dy 0.5000 0.5000 0.0000
```

=====

(5)
The following is a DFT calculation (PBE) of Li2TcPt after structural relaxation. Values from VASP.

* size of the total moment: 0.00 μB/atom
* relative energy among the computed polymorphs: 0.0 meV/atom
* crystal system: orthorhombic
* energy of formation: -0.127 eV/atom

The structure in Quantum ESPRESSO input format:
```
&SYSTEM
  ibrav = 0, nat = 4, ntyp = 3
/
ATOMIC_SPECIES
Li 6.94 Li.upf
Pt 195.08 Pt.upf
Tc 98.00 Tc.upf
CELL_PARAMETERS angstrom
-0.0707 2.1164 1.6223
-1.9465 -1.8105 0.2217
4.9260 -4.5440 6.1425
ATOMIC_POSITIONS crystal
Li 0.0000 0.0000 0.0069
Li 0.0000 0.0000 0.4931
Pt 0.5000 0.5000 0.2500
Tc 0.5000 0.5000 0.7500
```

=====

(6)
The following is a DFT calculation (PBE) of Fe2PtCl after structural relaxation. Values from VASP.

* size of the total moment: 1.60 μB/atom
* relative energy among the computed polymorphs: 651.5 meV/atom
* ΔE_f (raw): 57 kJ per mole of atoms
* crystal system: cubic

The structure in Quantum ESPRESSO input format:
```
&SYSTEM
  ibrav = 0, nat = 4, ntyp = 3
/
ATOMIC_SPECIES
Fe 55.84 Fe.upf
Pt 195.08 Pt.upf
Cl 35.45 Cl.upf
CELL_PARAMETERS angstrom
4.3912 0.0000 0.0000
2.1956 3.8029 0.0000
2.1956 1.2676 3.5854
ATOMIC_POSITIONS crystal
Fe 0.0000 0.0000 0.0000
Fe 0.7500 0.7500 0.7500
Pt 0.2500 0.2500 0.2500
Cl 0.5000 0.5000 0.5000
```

=====

(7)
The following is a DFT calculation (PBE) of Pm19Y6Tm4 after structural relaxation. Values from VASP.

* size of the total moment: 0.00 μB/atom
* crystal system: cubic
* energy of formation: 0.365 eV/atom

The structure in Quantum ESPRESSO input format:
```
&SYSTEM
  ibrav = 0, nat = 29, ntyp = 3
/
ATOMIC_SPECIES
Pm 145.00 Pm.upf
Y 88.91 Y.upf
Tm 168.93 Tm.upf
CELL_PARAMETERS angstrom
10.3059 0.0000 -3.6437
-5.1529 8.9250 -3.6436
0.0000 0.0000 10.9309
ATOMIC_POSITIONS crystal
Pm 0.7426 0.0000 0.7426
Pm 0.2574 0.0000 0.2574
Pm 0.2574 0.2574 0.0000
Pm 0.7426 0.7426 0.0000
Pm 0.0000 0.7426 0.7426
Pm 0.0000 0.2574 0.2574
Pm 0.0000 0.0000 0.0000
Pm 0.1943 0.2183 0.5388
Pm 0.8057 0.3445 0.0241
Pm 0.6795 0.6555 0.4612
Pm 0.0241 0.8057 0.3445
Pm 0.3205 0.7817 0.9759
Pm 0.5388 0.1943 0.2183
Pm 0.9759 0.3205 0.7817
Pm 0.4612 0.6795 0.6555
Pm 0.7817 0.9759 0.3205
Pm 0.3445 0.0241 0.8057
Pm 0.2183 0.5388 0.1943
Pm 0.6555 0.4612 0.6795
Y 0.3729 0.5000 0.8729
Y 0.6271 0.5000 0.1271
Y 0.1271 0.6271 0.5000
Y 0.8729 0.3729 0.5000
Y 0.5000 0.8729 0.3729
Y 0.5000 0.1271 0.6271
Tm 0.0000 0.0000 0.6395
Tm 0.0000 0.6395 0.0000
Tm 0.3605 0.3605 0.3605
Tm 0.6395 0.0000 0.0000
```

=====

(8)
The following is a DFT calculation (PBE) of VHSe2N after structural relaxation. Values from VASP.

* size of the total moment: 0.36 μB/atom
* relative energy among the computed polymorphs: 291.5 meV/atom
* crystal system: tetragonal

The structure in Quantum ESPRESSO input format:
```
&SYSTEM
  ibrav = 0, nat = 5, ntyp = 4
/
ATOMIC_SPECIES
H 1.01 H.upf
N 14.01 N.upf
Se 78.96 Se.upf
V 50.94 V.upf
CELL_PARAMETERS angstrom
-4.2458 -2.1237 -1.0025
1.4335 -3.9843 2.3691
-1.0305 0.9844 2.2789
ATOMIC_POSITIONS crystal
H 0.0000 0.0000 0.0000
N 0.0000 0.0000 0.5000
Se 0.0000 0.5000 0.0000
Se 0.5000 0.0000 0.0000
V 0.5000 0.5000 0.5000
```